1.
A plane-wave DFT calculation with GGA-PBE was carried out for La2PuNpN5 after structural relaxation.

Properties
Total energy   -88.928 eV/cell
Volume   16.7 A^3/atom

abc: 4.119 4.119 8.853
angles: 90.00 90.00 90.00
Fractional coordinates of all 9 atoms:
La: 0.500 0.500 0.270
La: 0.500 0.500 0.730
Pu: 0.000 0.000 0.000
Np: 0.000 0.000 0.500
N: 0.000 0.500 0.500
N: 0.500 0.000 0.500
N: 0.000 0.000 0.761
N: 0.000 0.000 0.239
N: 0.500 0.500 0.000

---

2.
A plane-wave DFT calculation with GGA-PBE was carried out for La2PuNpN6 after structural relaxation.

Properties
Total energy   -198.235 eV/cell
Volume   15.1 A^3/atom

abc: 5.916 6.034 8.442
angles: 90.00 89.13 90.00
Fractional coordinates of all 20 atoms:
La: 0.008 0.956 0.253
La: 0.508 0.544 0.753
La: 0.992 0.044 0.747
La: 0.492 0.456 0.247
Pu: 0.500 0.000 0.000
Pu: 0.000 0.500 0.500
Np: 0.500 0.000 0.500
Np: 0.000 0.500 0.000
N: 0.277 0.698 0.045
N: 0.777 0.802 0.545
N: 0.723 0.302 0.955
N: 0.223 0.198 0.455
N: 0.267 0.694 0.450
N: 0.767 0.806 0.950
N: 0.733 0.306 0.550
N: 0.233 0.194 0.050
N: 0.906 0.527 0.236
N: 0.406 0.973 0.736
N: 0.094 0.473 0.764
N: 0.594 0.027 0.264

---

Result set for ΔE_f (raw): -1.130; -1.204 eV/atom, one per record in the order listed.